Entry A
Compound: La8Pr6Nd
Source: Alexandria
Functional: PBE-GGA
Structure: relaxed

Summary:
SG	R-3 (148)
total magnetic moment	0.00	μB per formula unit
N(E_F)	25.68	states/eV/f.u.

a b c (Å): 10.120 10.120 8.516
angles (deg): 53.55 53.55 60.00
Fractional coordinates of all 15 atoms:
La  0.354  0.226  0.491
Pr  0.606  0.085  0.026
La  0.416  0.416  0.753
Pr  0.283  0.606  0.026
La  0.646  0.774  0.509
La  0.584  0.584  0.247
Pr  0.717  0.394  0.974
Pr  0.394  0.915  0.974
Nd  0.000  0.000  0.000
Pr  0.085  0.283  0.026
La  0.226  0.929  0.491
La  0.774  0.071  0.509
La  0.929  0.354  0.491
Pr  0.915  0.717  0.974
La  0.071  0.646  0.509

Entry B
Compound: La8Pr6Nd
Source: Alexandria
Functional: PBE-GGA
Structure: relaxed

Summary:
SG	R-3 (148)
total magnetic moment	0.00	μB per formula unit
N(E_F)	25.11	states/eV/f.u.

a b c (Å): 10.054 10.054 8.526
angles (deg): 53.87 53.87 60.00
Fractional coordinates of all 15 atoms:
Pr  0.437  0.616  0.774
Pr  0.173  0.437  0.774
La  0.949  0.132  0.291
La  0.868  0.373  0.709
Pr  0.616  0.173  0.774
La  0.051  0.868  0.709
La  0.760  0.760  0.719
La  0.627  0.949  0.291
Pr  0.563  0.384  0.226
La  0.132  0.627  0.291
La  0.240  0.240  0.281
Nd  0.000  0.000  0.000
Pr  0.827  0.563  0.226
La  0.373  0.051  0.709
Pr  0.384  0.827  0.226

The structure with the greatest stability is entry B.

Entry A
Compound: La8Pr2Nd3
Source: Alexandria
Functional: PBE-GGA
Structure: relaxed

Summary:
SG	P-1 (2)
total magnetic moment	0.00	μB per formula unit
N(E_F)	20.54	states/eV/f.u.

a b c (Å): 5.949 7.771 11.194
angles (deg): 110.26 89.99 90.00
Fractional coordinates of all 13 atoms:
La  0.500  0.808  0.208
La  0.999  0.865  0.730
Pr  0.499  0.757  0.515
La  0.001  0.327  0.654
La  0.500  0.400  0.208
Nd  0.500  0.000  0.000
Nd  0.000  0.281  0.000
Pr  0.501  0.243  0.485
La  0.999  0.673  0.346
La  0.500  0.600  0.792
Nd  0.000  0.719  0.000
La  0.001  0.135  0.270
La  0.500  0.192  0.792

Entry B
Compound: La8Pr2Nd3
Source: Alexandria
Functional: PBE-GGA
Structure: relaxed

Summary:
SG	C2/m (12)
total magnetic moment	0.00	μB per formula unit
N(E_F)	20.99	states/eV/f.u.

a b c (Å): 6.326 9.108 9.108
angles (deg): 81.87 72.07 72.07
Fractional coordinates of all 13 atoms:
La  0.336  0.905  0.434
La  0.780  0.457  0.457
La  0.664  0.095  0.566
La  0.336  0.434  0.905
Nd  0.500  0.000  0.000
Nd  0.000  0.753  0.247
La  0.664  0.566  0.095
Pr  0.298  0.285  0.285
La  0.924  0.139  0.139
Nd  0.000  0.247  0.753
La  0.076  0.861  0.861
Pr  0.702  0.715  0.715
La  0.220  0.543  0.543

The structure with the greatest stability is entry B.

Entry A
Compound: La12Pr7Nd
Source: Alexandria
Functional: PBE-GGA
Structure: relaxed

Summary:
SG	R-3 (148)
total magnetic moment	0.00	μB per formula unit
N(E_F)	29.21	states/eV/f.u.

a b c (Å): 7.208 11.190 11.190
angles (deg): 64.48 77.60 102.40
Fractional coordinates of all 20 atoms:
Pr  0.389  0.309  0.839
La  0.501  0.215  0.565
Pr  0.228  0.839  0.852
Pr  0.500  0.000  0.000
Pr  0.611  0.691  0.161
Pr  0.920  0.148  0.691
La  0.066  0.565  0.220
La  0.499  0.785  0.435
La  0.286  0.220  0.215
Nd  0.000  0.000  0.000
Pr  0.080  0.852  0.309
La  0.746  0.547  0.524
La  0.801  0.071  0.453
La  0.730  0.476  0.071
Pr  0.772  0.161  0.148
La  0.714  0.780  0.785
La  0.270  0.524  0.929
La  0.199  0.929  0.547
La  0.934  0.435  0.780
La  0.254  0.453  0.476

Entry B
Compound: La12Pr7Nd
Source: Alexandria
Functional: PBE-GGA
Structure: relaxed

Summary:
SG	R-3 (148)
total magnetic moment	0.00	μB per formula unit
N(E_F)	39.14	states/eV/f.u.

a b c (Å): 9.005 9.005 9.005
angles (deg): 89.40 89.40 89.40
Fractional coordinates of all 20 atoms:
La  0.719  0.858  0.259
Pr  0.856  0.615  0.930
La  0.610  0.142  0.488
Pr  0.385  0.070  0.144
La  0.259  0.719  0.858
La  0.142  0.488  0.610
Pr  0.500  0.500  0.500
La  0.512  0.390  0.858
La  0.281  0.142  0.741
La  0.858  0.259  0.719
Pr  0.070  0.144  0.385
La  0.390  0.858  0.512
La  0.488  0.610  0.142
La  0.741  0.281  0.142
Pr  0.930  0.856  0.615
La  0.142  0.741  0.281
Pr  0.615  0.930  0.856
La  0.858  0.512  0.390
Nd  0.000  0.000  0.000
Pr  0.144  0.385  0.070

The structure with the greatest stability is entry B.

Entry A
Compound: LaPr3Nd
Source: Alexandria
Functional: PBE-GGA
Structure: relaxed

Summary:
SG	C2/m (12)
total magnetic moment	0.00	μB per formula unit
N(E_F)	8.64	states/eV/f.u.

a b c (Å): 6.995 6.202 9.594
angles (deg): 108.68 111.38 90.00
Fractional coordinates of all 10 atoms:
Pr  0.226  0.474  0.451
La  0.000  0.500  0.000
La  0.000  0.000  0.000
Pr  0.888  0.902  0.306
Nd  0.549  0.298  0.098
Pr  0.582  0.098  0.694
Nd  0.451  0.702  0.902
Pr  0.774  0.526  0.549
Pr  0.112  0.098  0.694
Pr  0.418  0.902  0.306

Entry B
Compound: LaPr3Nd
Source: Alexandria
Functional: PBE-GGA
Structure: relaxed

Summary:
SG	Cmcm (63)
total magnetic moment	0.00	μB per formula unit
N(E_F)	5.87	states/eV/f.u.

a b c (Å): 8.074 8.074 6.685
angles (deg): 90.00 90.00 60.44
Fractional coordinates of all 10 atoms:
Pr  0.399  0.798  0.750
Nd  0.335  0.335  0.750
La  0.801  0.801  0.750
Nd  0.665  0.665  0.250
Pr  0.000  0.000  0.000
Pr  0.798  0.399  0.750
Pr  0.202  0.601  0.250
Pr  0.000  0.000  0.500
Pr  0.601  0.202  0.250
La  0.199  0.199  0.250

The structure with the greatest stability is entry A.